# 1
TaTl2Si: optimized geometry, PBE-GGA.

Cell and atoms, written as extended XYZ:
```
4
Lattice="-0.399 -0.286 5.974 -3.848 -3.806 2.575 4.775 0.882 -3.514" Properties=species:S:1:pos:R:3 pbc="T T T"
Si 1.126 -0.725 3.367
Ta -0.598 -2.485 1.667
Tl -4.213 -4.060 8.480
Tl -2.158 -2.079 4.342
```

Total DFT energy (no corrections) (eV/cell): -19.14
Formation energy from raw total energies (eV/f.u.): 2.871
E above lowest polymorph (meV/atom): 438

# 2
YMnP2: optimized geometry, PBE-GGA.

Cell and atoms, written as extended XYZ:
```
4
Lattice="-3.770 2.084 0.878 -1.967 -3.109 -1.071 0.127 -1.511 4.135" Properties=species:S:1:pos:R:3 pbc="T T T"
Mn -3.749 -3.257 2.636
P 0.119 -1.454 3.965
P -3.813 -2.523 0.618
Y -0.927 -2.232 1.318
```

Total DFT energy (no corrections) (eV/cell): -28.92
Energy of formation (meV/atom): -616
E above lowest polymorph (meV/atom): 211

# 3
AcMgInNi: optimized geometry, PBE-GGA.

Cell and atoms, written as extended XYZ:
```
4
Lattice="-3.817 -2.446 2.311 0.522 -4.897 1.280 0.419 -1.319 4.897" Properties=species:S:1:pos:R:3 pbc="T T T"
Ni 0.000 0.000 0.000
Ac -2.157 -6.497 6.366
Mg -1.438 -4.331 4.244
In -0.719 -2.166 2.122
```

Total DFT energy (no corrections) (eV/cell): -14.63
Energy of formation (meV/atom): -103